No. 1
! PBE KIn2I2, optimized geometry; values from VASP
! uncorrected formation energy = -0.662 eV per atom
! electronic total energy = -13.0 eV/cell
! energy above the most stable polymorph in this dataset = 0 meV/atom
! total magnetic moment = 0.00 μB/atom
&SYSTEM
  ibrav = 0, nat = 5, ntyp = 3
/
ATOMIC_SPECIES
K 39.10 K.upf
In 114.82 In.upf
I 126.90 I.upf
CELL_PARAMETERS angstrom
-2.198 2.198 9.923
2.198 -2.198 9.923
2.198 2.198 -9.923
ATOMIC_POSITIONS angstrom
K 0.000 0.000 0.000
In 2.198 0.000 4.962
In 0.000 2.198 4.962
I 0.000 0.000 7.872
I 0.000 0.000 11.975

No. 2
! PBE KInI4, optimized geometry; values from VASP
! uncorrected formation energy = -0.833 eV per atom
! electronic total energy = -30.1 eV/cell
! energy above the most stable polymorph in this dataset = 12 meV/atom
! total magnetic moment = 0.00 μB/atom
&SYSTEM
  ibrav = 0, nat = 12, ntyp = 3
/
ATOMIC_SPECIES
K 39.10 K.upf
In 114.82 In.upf
I 126.90 I.upf
CELL_PARAMETERS angstrom
5.524 -9.445 0.000
5.524 9.445 0.000
-5.520 0.000 5.536
ATOMIC_POSITIONS angstrom
K 1.385 7.076 4.152
K 4.144 -7.076 1.384
In 4.144 2.358 1.384
In 1.385 -2.358 4.152
I -0.855 3.881 4.663
I 1.887 0.837 0.861
I -0.873 -0.837 3.629
I 3.624 3.881 3.641
I 1.905 -3.881 1.895
I 6.402 0.837 1.907
I 3.642 -0.837 4.675
I 6.384 -3.881 0.873

No. 3
! PBE KInI2, optimized geometry; values from VASP
! uncorrected formation energy = -0.972 eV per atom
! electronic total energy = -21.7 eV/cell
! energy above the most stable polymorph in this dataset = 0 meV/atom
! total magnetic moment = 0.00 μB/atom
&SYSTEM
  ibrav = 0, nat = 8, ntyp = 3
/
ATOMIC_SPECIES
K 39.10 K.upf
In 114.82 In.upf
I 126.90 I.upf
CELL_PARAMETERS angstrom
5.008 0.000 0.000
0.000 5.008 0.000
0.000 0.000 14.152
ATOMIC_POSITIONS angstrom
K 0.000 0.013 0.000
K 0.000 4.995 7.076
In 2.504 2.493 10.614
In 2.504 2.515 3.538
I 0.000 0.012 3.537
I 0.000 4.996 10.612
I 2.504 2.492 7.083
I 2.504 2.516 0.008

No. 4
! PBE KInI2, optimized geometry; values from VASP
! uncorrected formation energy = -0.914 eV per atom
! electronic total energy = -10.6 eV/cell
! energy above the most stable polymorph in this dataset = 59 meV/atom
! total magnetic moment = 0.00 μB/atom
&SYSTEM
  ibrav = 0, nat = 4, ntyp = 3
/
ATOMIC_SPECIES
K 39.10 K.upf
In 114.82 In.upf
I 126.90 I.upf
CELL_PARAMETERS angstrom
6.025 0.000 0.000
0.000 6.025 0.000
0.000 0.000 4.276
ATOMIC_POSITIONS angstrom
K 0.000 0.000 0.000
In 3.012 3.012 0.000
I 0.000 3.012 2.138
I 3.012 0.000 2.138

No. 5
! PBE K2In2I, optimized geometry; values from VASP
! uncorrected formation energy = -0.224 eV per atom
! electronic total energy = -20.7 eV/cell
! total magnetic moment = 0.00 μB/atom
&SYSTEM
  ibrav = 0, nat = 10, ntyp = 3
/
ATOMIC_SPECIES
K 39.10 K.upf
In 114.82 In.upf
I 126.90 I.upf
CELL_PARAMETERS angstrom
9.264 0.000 0.000
0.000 9.264 0.000
0.000 0.000 5.431
ATOMIC_POSITIONS angstrom
K 1.714 2.918 0.000
K 2.918 7.550 0.000
K 6.346 1.714 0.000
K 7.550 6.346 0.000
In 1.051 5.683 2.716
In 3.581 1.051 2.716
In 5.683 8.212 2.716
In 8.212 3.581 2.716
I 0.000 0.000 0.000
I 4.632 4.632 0.000

No. 6
! PBE KInI2, optimized geometry; values from VASP
! uncorrected formation energy = -0.879 eV per atom
! electronic total energy = -20.9 eV/cell
! energy above the most stable polymorph in this dataset = 94 meV/atom
! total magnetic moment = 0.00 μB/atom
&SYSTEM
  ibrav = 0, nat = 8, ntyp = 3
/
ATOMIC_SPECIES
K 39.10 K.upf
In 114.82 In.upf
I 126.90 I.upf
CELL_PARAMETERS angstrom
-3.903 3.903 8.139
3.903 -3.903 8.139
3.903 3.903 -8.139
ATOMIC_POSITIONS angstrom
K 0.000 0.000 0.000
K 0.000 3.903 4.070
In 3.903 0.000 4.070
In 0.000 0.000 8.139
I 1.952 -1.898 6.105
I 2.006 1.952 2.035
I 1.952 5.801 -2.035
I 1.898 1.952 10.174

No. 7
! PBE KInI2, optimized geometry; values from VASP
! uncorrected formation energy = -0.941 eV per atom
! electronic total energy = -10.7 eV/cell
! energy above the most stable polymorph in this dataset = 31 meV/atom
! total magnetic moment = 0.00 μB/atom
&SYSTEM
  ibrav = 0, nat = 4, ntyp = 3
/
ATOMIC_SPECIES
K 39.10 K.upf
In 114.82 In.upf
I 126.90 I.upf
CELL_PARAMETERS angstrom
2.457 1.419 8.638
-2.457 1.419 8.638
0.000 -2.837 8.638
ATOMIC_POSITIONS angstrom
K 0.000 0.000 0.000
In 0.000 0.000 21.563
I 0.000 0.000 6.411
I 0.000 0.000 10.827

No. 8
! PBE KInI2, optimized geometry; values from VASP
! uncorrected formation energy = -0.909 eV per atom
! electronic total energy = -10.6 eV/cell
! energy above the most stable polymorph in this dataset = 63 meV/atom
! total magnetic moment = 0.00 μB/atom
&SYSTEM
  ibrav = 0, nat = 4, ntyp = 3
/
ATOMIC_SPECIES
K 39.10 K.upf
In 114.82 In.upf
I 126.90 I.upf
CELL_PARAMETERS angstrom
0.000 4.270 4.270
4.270 0.000 4.270
4.270 4.270 0.000
ATOMIC_POSITIONS angstrom
K 0.000 0.000 0.000
In 4.270 4.270 4.270
I 2.135 2.135 2.135
I 6.405 6.405 6.405

- total magnetic moment of number 4 (KInI2)?
  0.00 μB/atom

- Number 8 is which compound?
  KInI2

- The highest uncorrected formation energy belongs to which entry?
  K2In2I